A relaxed structure of OsPt2Br. Source: Alexandria via LeMat-Bulk, functional PBE-GGA.

Its formation energy without anion corrections is 0.44 eV/atom. The density of states at the Fermi level is 4.62 states/eV per cell.

The structure belongs to space group Pmmm (No. 47); the cell edges are 2.831, 2.971 and 8.295 Å and the angles 90.00°, 90.00° and 90.00°. The asymmetric unit holds Os at (0.000, 0.000, 0.000), Pt at (0.500, 0.500, 0.215) and Br at (0.500, 0.000, 0.500).

A relaxed structure of TaInBr2. Source: Alexandria via LeMat-Bulk, functional PBE-GGA.

Its formation energy without anion corrections is 0.70 eV/atom. The density of states at the Fermi level is 7.35 states/eV per cell.

The structure belongs to space group I-4m2 (No. 119); the cell edges are 4.344, 4.344 and 10.462 Å and the angles 90.00°, 90.00° and 90.00°. The asymmetric unit holds Ta at (0.000, 0.000, 0.000), In at (0.000, 0.500, 0.250), Br at (0.000, 0.000, 0.500) and Br at (0.000, 0.500, 0.750).

A relaxed structure of LaNdScO4. Source: Alexandria via LeMat-Bulk, functional PBE-GGA.

Its formation energy without anion corrections is -3.13 eV/atom. The density of states at the Fermi level is 5.16 states/eV per cell.

The structure belongs to space group I4mm (No. 107); the cell edges are 4.047, 4.047 and 12.572 Å and the angles 90.00°, 90.00° and 90.00°. The asymmetric unit holds La at (0.000, 0.000, 0.000), Nd at (0.000, 0.000, 0.705), Sc at (0.000, 0.000, 0.351), O at (0.000, 0.000, 0.180), O at (0.000, 0.000, 0.524) and O at (0.000, 0.500, 0.350).

A relaxed structure of KSr2IrN2. Source: Alexandria via LeMat-Bulk, functional PBE-GGA.

Its formation energy without anion corrections is -0.28 eV/atom. The density of states at the Fermi level is 2.25 states/eV per cell.

The structure belongs to space group Pnnm (No. 58); the cell edges are 6.062, 10.061 and 4.556 Å and the angles 90.00°, 90.00° and 90.00°. The asymmetric unit holds K at (0.000, 0.000, 0.000), Sr at (0.058, 0.281, 0.500), Ir at (0.000, 0.500, 0.000) and N at (0.219, 0.360, 0.000).

A relaxed structure of MgNbPbO2. Source: Alexandria via LeMat-Bulk, functional PBE-GGA.

Its formation energy without anion corrections is -0.97 eV/atom. The density of states at the Fermi level is 2.82 states/eV per cell.

The structure belongs to space group P4/mmm (No. 123); the cell edges are 4.019, 4.019 and 6.076 Å and the angles 90.00°, 90.00° and 90.00°. The asymmetric unit holds Mg at (0.000, 0.000, 0.000), Nb at (0.000, 0.000, 0.500), Pb at (0.500, 0.500, 0.000) and O at (0.000, 0.500, 0.500).

A relaxed structure of Ca2MgAlH. Source: Alexandria via LeMat-Bulk, functional PBE-GGA.

Its total energy is -2.7524 eV/atom. The density of states at the Fermi level is 2.31 states/eV per cell.

The structure belongs to space group P4/mmm (No. 123); the cell edges are 4.890, 4.890 and 4.449 Å and the angles 90.00°, 90.00° and 90.00°. The asymmetric unit holds Ca at (0.000, 0.500, 0.000), Mg at (0.000, 0.000, 0.500), Al at (0.500, 0.500, 0.500) and H at (0.000, 0.000, 0.000).

A relaxed structure of KHPd. Source: Alexandria via LeMat-Bulk, functional PBE-GGA.

Its total energy is -3.2497 eV/atom. The density of states at the Fermi level is 0.44 states/eV per cell.

The structure belongs to space group P-6m2 (No. 187); the cell edges are 3.3081, 3.3081 and 5.2769 Å and the angles 90.00°, 90.00° and 120.00°. The asymmetric unit holds K at (0.0000, 0.0000, 0.0000), H at (0.6667, 0.3333, 0.5000) and Pd at (0.3333, 0.6667, 0.5000).

A relaxed structure of Ba2CuAs. Source: Alexandria via LeMat-Bulk, functional PBE-GGA.

Its formation energy is -0.33 eV/atom. The density of states at the Fermi level is 2.22 states/eV per cell.

The structure belongs to space group I-4m2 (No. 119); the cell edges are 4.701, 4.701 and 11.270 Å and the angles 90.00°, 90.00° and 90.00°. The asymmetric unit holds Ba at (0.000, 0.000, 0.000), Ba at (0.000, 0.500, 0.250), Cu at (0.000, 0.500, 0.750) and As at (0.000, 0.000, 0.500).

A relaxed structure of Be2Ru. Source: Alexandria via LeMat-Bulk, functional PBE-GGA.

Its formation energy is 0.10 eV/atom. The density of states at the Fermi level is 6.62 states/eV per cell.

The structure belongs to space group Cmcm (No. 63); the cell edges are 2.684, 12.137 and 4.075 Å and the angles 90.00°, 90.00° and 90.00°. The asymmetric unit holds Be at (0.000, 0.060, 0.250), Be at (0.000, 0.395, 0.250) and Ru at (0.000, 0.284, 0.750).

A relaxed structure of MgSc4Ga2Os. Source: Alexandria via LeMat-Bulk, functional PBE-GGA.

Its formation energy is -0.48 eV/atom. The density of states at the Fermi level is 13.41 states/eV per cell.

The structure belongs to space group R-3m (No. 166, hexagonal axes); the cell edges are 4.7512, 4.7512 and 23.3073 Å and the angles 90.00°, 90.00° and 120.00°. The asymmetric unit holds Mg at (0.0000, 0.0000, 0.0000), Sc at (0.0000, 0.0000, 0.1318), Sc at (0.0000, 0.0000, 0.3848), Ga at (0.0000, 0.0000, 0.2576) and Os at (0.0000, 0.0000, 0.5000).

A relaxed structure of NbCd3Fe. Source: Alexandria via LeMat-Bulk, functional PBE-GGA.

Its formation energy is 1.58 eV/atom. The density of states at the Fermi level is 10.66 states/eV per cell.

The structure belongs to space group Pm-3m (No. 221); the cell edges are 5.360, 5.360 and 5.360 Å and the angles 90.00°, 90.00° and 90.00°. The asymmetric unit holds Nb at (0.000, 0.000, 0.000), Cd at (0.000, 0.000, 0.500) and Fe at (0.500, 0.500, 0.500).

A relaxed structure of HgIrBr2. Source: Alexandria via LeMat-Bulk, functional PBE-GGA.

Its formation energy without anion corrections is 0.33 eV/atom. The density of states at the Fermi level is 5.85 states/eV per cell.

The structure belongs to space group Cmm2 (No. 35); the cell edges are 3.636, 6.620 and 9.059 Å and the angles 90.00°, 90.00° and 90.00°. The asymmetric unit holds Hg at (0.000, 0.000, 0.000), Ir at (0.000, 0.500, 0.221), Br at (0.000, 0.000, 0.399) and Br at (0.000, 0.500, 0.778).

A relaxed structure of KRb2Ca2. Source: Alexandria via LeMat-Bulk, functional PBE-GGA.

Its formation energy is 0.36 eV/atom. The density of states at the Fermi level is 11.00 states/eV per cell.

The structure belongs to space group I4/mmm (No. 139); the cell edges are 5.816, 5.816 and 20.829 Å and the angles 90.00°, 90.00° and 90.00°. The asymmetric unit holds K at (0.000, 0.000, 0.000), Rb at (0.000, 0.500, 0.250) and Ca at (0.000, 0.000, 0.412).

A relaxed structure of Ho12ZnCd6. Source: Alexandria via LeMat-Bulk, functional PBE-GGA.

Its formation energy is -0.10 eV/atom. The density of states at the Fermi level is 65.88 states/eV per cell.

The structure belongs to space group R-3 (No. 148, hexagonal axes); the cell edges are 11.2027, 11.2027 and 14.2357 Å and the angles 90.00°, 90.00° and 120.00°. The asymmetric unit holds Ho at (0.0256, 0.1857, 0.3253), Ho at (0.0589, 0.8500, 0.9066), Zn at (0.0000, 0.0000, 0.5000) and Cd at (0.0307, 0.4351, 0.2046).

A relaxed structure of LaOsPt2. Source: Alexandria via LeMat-Bulk, functional PBE-GGA.

Its formation energy is -0.01 eV/atom. The density of states at the Fermi level is 5.52 states/eV per cell.

The structure belongs to space group P4/mmm (No. 123); the cell edges are 2.908, 2.908 and 8.615 Å and the angles 90.00°, 90.00° and 90.00°. The asymmetric unit holds La at (0.000, 0.000, 0.000), Os at (0.000, 0.000, 0.500) and Pt at (0.500, 0.500, 0.289).

A relaxed structure of LiPuAg2I6. Source: Alexandria via LeMat-Bulk, functional PBE-GGA.

Its formation energy without anion corrections is -0.72 eV/atom. The density of states at the Fermi level is 33.32 states/eV per cell.

The structure belongs to space group R-3 (No. 148, hexagonal axes); the cell edges are 7.7199, 7.7199 and 21.7856 Å and the angles 90.00°, 90.00° and 120.00°. The asymmetric unit holds Li at (0.0000, 0.0000, 0.0000), Pu at (0.0000, 0.0000, 0.5000), Ag at (0.0000, 0.0000, 0.2472) and I at (0.0036, 0.6418, 0.7481).

A relaxed structure of MgU2Si2O18. Source: Alexandria via LeMat-Bulk, functional PBE-GGA.

Its formation energy without anion corrections is -1.74 eV/atom. The density of states at the Fermi level is 22.85 states/eV per cell.

The structure belongs to space group C2/m (No. 12); the cell edges are 15.300, 7.023 and 6.790 Å and the angles 90.00°, 91.14° and 90.00°. The asymmetric unit holds Mg at (0.000, 0.000, 0.000), U at (0.245, 0.500, 0.646), Si at (0.206, 0.000, 0.822), O at (0.020, 0.344, 0.181), O at (0.059, 0.500, 0.226), O at (0.103, 0.000, 0.861), O at (0.127, 0.500, 0.602), O at (0.136, 0.000, 0.332), O at (0.237, 0.178, 0.680) and O at (0.241, 0.500, 0.966).

A relaxed structure of TaSi2Ru. Source: Alexandria via LeMat-Bulk, functional PBE-GGA.

Its formation energy without anion corrections is -0.29 eV/atom. The density of states at the Fermi level is 4.47 states/eV per cell.

The structure belongs to space group C2/m (No. 12); the cell edges are 7.881, 2.890 and 5.301 Å and the angles 90.00°, 101.15° and 90.00°. The asymmetric unit holds Ta at (0.000, 0.000, 0.000), Si at (0.244, 0.000, 0.707) and Ru at (0.000, 0.500, 0.500).

A relaxed structure of ZrAgRu2. Source: Alexandria via LeMat-Bulk, functional PBE-GGA.

Its formation energy is 0.10 eV/atom. The density of states at the Fermi level is 5.40 states/eV per cell.

The structure belongs to space group P4/mmm (No. 123); the cell edges are 3.303, 3.303 and 6.145 Å and the angles 90.00°, 90.00° and 90.00°. The asymmetric unit holds Zr at (0.000, 0.000, 0.000), Ag at (0.000, 0.000, 0.500) and Ru at (0.500, 0.500, 0.245).